The following is a GGA+U calculation of crystalline Tl2MoCl5O at its relaxed geometry, from the Alexandria database.

a = 7.0488 Å, b = 7.0488 Å, c = 7.0488 Å
α = 92.34°, β = 118.66°, γ = 118.66°
Closest atoms and distances in Å follow each position.
Positions (direct):
Tl: 0.5000 0.7345 0.2345  10 Cl 3.41-3.64, 2 O 3.66
Tl: 0.5000 0.2345 0.7345  10 Cl 3.41-3.64, 2 O 3.66
Cl: 0.4776 0.2402 0.2402  1 Mo 2.44
Cl: 0.0000 0.7626 0.2402  1 Mo 2.44
Cl: 0.5224 0.7626 0.7626  1 Mo 2.44
Cl: 0.0000 0.2393 0.2393  1 Mo 2.52
Cl: 0.0000 0.2402 0.7626  1 Mo 2.44
Mo: 0.0000 0.9813 0.9813  1 O 1.72
O: 0.0000 0.8047 0.8047  1 Mo 1.72

## Properties
- ρ (g cm⁻³) = 4.59
- space-group type = I4mm (107)
- VASP energy (Ry per atom) = -0.29006
- total moment (μB per atom) = 0.11